(1)
Here is a geometry-optimized La2Pm3NdY6 structure from Alexandria. Energies are from PBE.

abc: 6.3059 6.3059 11.9098
angles: 95.05 95.05 120.00
Positions (direct):
Y1 0.7514 0.7514 0.2522
Y2 0.9160 0.5832 0.7479
Y3 0.0840 0.4168 0.2521
Y4 0.4168 0.0840 0.2521
Y5 0.2486 0.2486 0.7478
Y6 0.5832 0.9160 0.7479
Pm1 0.5000 0.5000 0.5000
Pm2 0.1666 0.8334 0.5000
Pm3 0.8334 0.1666 0.5000
La1 0.6665 0.3335 0.0000
La2 0.3335 0.6665 0.0000
Nd1 0.0000 0.0000 0.0000

Properties
DFT total energy = -5.6284 eV per atom
space group = C2/m (12)
E_form = 0.010 eV per atom
calculated density = 5.719 g/cm3

***

(2)
Here is a geometry-optimized NaZrHgOs2 structure from Alexandria. Energies are from PBE.

abc: 4.8785 5.5094 4.8785
angles: 90.00 90.00 90.00
Positions (direct):
Hg1 0.5000 0.5000 0.5000
Na1 0.0000 0.5000 0.0000
Os1 0.0000 0.0000 0.5000
Os2 0.5000 0.0000 0.0000
Zr1 0.0000 0.0000 0.0000

Properties
DFT total energy = -4.7556 eV per atom
space group = P4/mmm (123)
E_form = 1.770 eV per atom
calculated density = 8.805 g/cm3